No. 1
Density functional theory data (PBE) for a relaxed La2Y2Sc crystal.

Output
The calculation puts the electronic total energy at -26.89 eV for the cell shown. The calculation puts the formation energy at 0.446 eV per atom. The space group is I4/mmm.

abc: 9.009 9.009 9.009
angles: 151.09 151.09 41.35
Fractional coordinates of all 5 atoms:
La: 0.250 0.750 0.500
La: 0.750 0.250 0.500
Y: 0.090 0.090 0.000
Y: 0.910 0.910 0.000
Sc: 0.500 0.500 0.000

No. 2
Density functional theory data (PBE) for a relaxed La2YSc2 crystal.

Output
The calculation puts the electronic total energy at -56.48 eV for the cell shown. The calculation puts the formation energy at 0.148 eV per atom. The space group is P4/mbm.

abc: 9.123 9.123 3.726
angles: 90.00 90.00 90.00
Fractional coordinates of all 10 atoms:
La: 0.131 0.369 0.000
La: 0.369 0.869 0.000
La: 0.631 0.131 0.000
La: 0.869 0.631 0.000
Y: 0.000 0.000 0.000
Y: 0.500 0.500 0.000
Sc: 0.170 0.670 0.500
Sc: 0.330 0.170 0.500
Sc: 0.670 0.830 0.500
Sc: 0.830 0.330 0.500

No. 3
Density functional theory data (PBE) for a relaxed La5Y5Sc2 crystal.

Output
The calculation puts the electronic total energy at -69.02 eV for the cell shown. The calculation puts the formation energy at 0.050 eV per atom. The space group is C2/m.

abc: 8.080 8.080 11.441
angles: 115.29 115.29 36.14
Fractional coordinates of all 12 atoms:
La: 0.000 0.000 0.000
La: 0.078 0.078 0.750
La: 0.165 0.165 0.500
La: 0.835 0.835 0.500
La: 0.922 0.922 0.250
Y: 0.244 0.244 0.246
Y: 0.333 0.333 0.998
Y: 0.500 0.500 0.500
Y: 0.667 0.667 0.002
Y: 0.756 0.756 0.754
Sc: 0.416 0.416 0.750
Sc: 0.584 0.584 0.250

Please write out number 2 again, unchanged.
Density functional theory data (PBE) for a relaxed La2YSc2 crystal.

Output
The calculation puts the electronic total energy at -56.48 eV for the cell shown. The calculation puts the formation energy at 0.148 eV per atom. The space group is P4/mbm.

abc: 9.123 9.123 3.726
angles: 90.00 90.00 90.00
Fractional coordinates of all 10 atoms:
La: 0.131 0.369 0.000
La: 0.369 0.869 0.000
La: 0.631 0.131 0.000
La: 0.869 0.631 0.000
Y: 0.000 0.000 0.000
Y: 0.500 0.500 0.000
Sc: 0.170 0.670 0.500
Sc: 0.330 0.170 0.500
Sc: 0.670 0.830 0.500
Sc: 0.830 0.330 0.500